1.
Below is crystalline MnCo2P at its relaxed geometry, with properties calculated at the PBE level.

Geometry as POSCAR:
```
MnCo2P
1.0
2.673 0.000 0.000
0.000 4.015 0.000
0.000 0.000 8.145
Mn Co P
2 4 2
Direct
0.000 0.000 0.000
0.500 0.500 0.500
0.000 0.500 0.217
0.000 0.500 0.783
0.500 0.000 0.283
0.500 0.000 0.717
0.000 0.000 0.500
0.500 0.500 0.000
```

ΔE_f: -0.2060 eV/atom


2.
Below is crystalline Sm8TeAs3Se4 at its relaxed geometry, with properties calculated at the PBE level.

Geometry as POSCAR:
```
Sm8TeAs3Se4
1.0
4.238 2.447 6.877
-4.238 2.447 6.877
0.000 -4.893 6.877
Sm Te As Se
8 1 3 4
Direct
0.233 0.758 0.758
0.242 0.242 0.767
0.242 0.767 0.242
0.246 0.246 0.246
0.754 0.754 0.754
0.758 0.233 0.758
0.758 0.758 0.233
0.767 0.242 0.242
0.500 0.500 0.500
0.000 0.000 0.500
0.000 0.500 0.000
0.500 0.000 0.000
0.000 0.000 0.000
0.000 0.500 0.500
0.500 0.000 0.500
0.500 0.500 0.000
```

ΔE_f (raw): -1.70 eV per atom


3.
Below is crystalline Ta2AgPt at its relaxed geometry, with properties calculated at the PBE level.

Geometry as POSCAR:
```
Ta2AgPt
1.0
2.871 0.000 0.000
-1.436 2.487 0.000
0.000 0.000 29.168
Ta Ag Pt
6 3 3
Direct
0.000 0.000 0.247
0.000 0.000 0.753
0.333 0.667 0.420
0.333 0.667 0.914
0.667 0.333 0.086
0.667 0.333 0.580
0.000 0.000 0.000
0.333 0.667 0.667
0.667 0.333 0.333
0.000 0.000 0.500
0.333 0.667 0.167
0.667 0.333 0.833
```

ΔE_f: -0.0030 eV/atom


Copy entry 2 word for word.
Below is crystalline Sm8TeAs3Se4 at its relaxed geometry, with properties calculated at the PBE level.

Geometry as POSCAR:
```
Sm8TeAs3Se4
1.0
4.238 2.447 6.877
-4.238 2.447 6.877
0.000 -4.893 6.877
Sm Te As Se
8 1 3 4
Direct
0.233 0.758 0.758
0.242 0.242 0.767
0.242 0.767 0.242
0.246 0.246 0.246
0.754 0.754 0.754
0.758 0.233 0.758
0.758 0.758 0.233
0.767 0.242 0.242
0.500 0.500 0.500
0.000 0.000 0.500
0.000 0.500 0.000
0.500 0.000 0.000
0.000 0.000 0.000
0.000 0.500 0.500
0.500 0.000 0.500
0.500 0.500 0.000
```

ΔE_f (raw): -1.70 eV per atom